Record 1
Computed, not measured: a relaxed structure of ErZrAu2 at the PBE level of DFT.

```
ErZrAu2
1.0
3.425 0.000 0.000
0.000 3.425 0.000
0.000 0.000 7.301
Er Zr Au
1 1 2
direct
0.000 0.000 0.000 Er
0.000 0.000 0.500 Zr
0.500 0.500 0.259 Au
0.500 0.500 0.741 Au
```

Offset from the most stable computed form in meV per atom: 0
ΔE_f in eV per formula unit: -2.56
Space-group type: P4/mmm (123)

---

Record 2
Computed, not measured: a relaxed structure of ErZrAu2 at the PBE level of DFT.

```
ErZrAu2
1.0
0.000 3.501 3.501
3.501 0.000 3.501
3.501 3.501 0.000
Er Zr Au
1 1 2
direct
0.000 0.000 0.000 Er
0.500 0.500 0.500 Zr
0.250 0.250 0.250 Au
0.750 0.750 0.750 Au
```

Offset from the most stable computed form in meV per atom: 31
ΔE_f in eV per formula unit: -2.44
Space-group type: Fm-3m (225)

---

Record 3
Computed, not measured: a relaxed structure of ErZrAu6 at the PBE level of DFT.

```
ErZrAu6
1.0
4.548 -2.210 0.000
4.548 2.210 0.000
-4.238 0.000 7.717
Er Zr Au
1 1 6
direct
0.000 0.000 0.000 Er
0.000 0.000 0.500 Zr
0.250 0.250 0.868 Au
0.251 0.251 0.380 Au
0.495 0.495 0.252 Au
0.505 0.505 0.748 Au
0.749 0.749 0.620 Au
0.750 0.750 0.132 Au
```

ΔE_f in eV per formula unit: -4.46
Space-group type: C2/m (12)

---

Record 4
Computed, not measured: a relaxed structure of EuAu5 at the PBE level of DFT.

```
EuAu5
1.0
2.181 -6.527 0.000
2.181 6.527 0.000
0.000 0.000 4.274
Eu Au
1 5
direct
0.000 0.000 0.000 Eu
0.173 0.827 0.500 Au
0.330 0.670 0.000 Au
0.500 0.500 0.500 Au
0.670 0.330 0.000 Au
0.827 0.173 0.500 Au
```

ΔE_f in eV per formula unit: -1.76
Space-group type: Cmmm (65)

---

Record 5
Computed, not measured: a relaxed structure of EuAu at the PBE level of DFT.

```
EuAu
1.0
7.700 0.000 0.000
0.000 4.754 0.000
0.000 0.000 6.038
Eu Au
4 4
direct
0.182 0.250 0.139 Eu
0.318 0.750 0.639 Eu
0.682 0.250 0.361 Eu
0.818 0.750 0.861 Eu
0.041 0.250 0.644 Au
0.459 0.750 0.144 Au
0.541 0.250 0.856 Au
0.959 0.750 0.356 Au
```

ΔE_f in eV per formula unit: -1.62
Space-group type: Pnma (62)

---

Record 6
Computed, not measured: a relaxed structure of Eu3Au2 at the PBE level of DFT.

```
Eu3Au2
1.0
4.672 2.697 6.013
-4.672 2.697 6.013
0.000 -5.395 6.013
Eu Au
9 6
direct
0.000 0.000 0.000 Eu
0.159 0.402 0.660 Eu
0.200 0.200 0.200 Eu
0.340 0.841 0.598 Eu
0.402 0.660 0.159 Eu
0.598 0.340 0.841 Eu
0.660 0.159 0.402 Eu
0.800 0.800 0.800 Eu
0.841 0.598 0.340 Eu
0.045 0.839 0.409 Au
0.161 0.591 0.955 Au
0.409 0.045 0.839 Au
0.591 0.955 0.161 Au
0.839 0.409 0.045 Au
0.955 0.161 0.591 Au
```

ΔE_f in eV per formula unit: -3.52
Space-group type: R-3 (148)

---

Record 7
Computed, not measured: a relaxed structure of EuAu5 at the PBE level of DFT.

```
EuAu5
1.0
5.612 0.000 0.000
-2.806 4.860 0.000
0.000 0.000 4.752
Eu Au
1 5
direct
0.000 0.000 0.000 Eu
0.000 0.500 0.500 Au
0.333 0.667 0.000 Au
0.500 0.000 0.500 Au
0.500 0.500 0.500 Au
0.667 0.333 0.000 Au
```

ΔE_f in eV per formula unit: -2.57
Space-group type: P6/mmm (191)

---

Record 8
Computed, not measured: a relaxed structure of EuAu6 at the PBE level of DFT.

```
EuAu6
1.0
-3.733 3.733 3.733
3.733 -3.733 3.733
3.733 3.733 -3.733
Eu Au
1 6
direct
0.000 0.000 0.000 Eu
0.250 0.500 0.750 Au
0.250 0.750 0.500 Au
0.500 0.250 0.750 Au
0.500 0.750 0.250 Au
0.750 0.250 0.500 Au
0.750 0.500 0.250 Au
```

ΔE_f in eV per formula unit: 1.20
Space-group type: Im-3m (229)

---

Record 9
Computed, not measured: a relaxed structure of EuAuF at the PBE level of DFT.

```
EuAuF
1.0
4.138 0.000 0.000
-2.069 3.583 0.000
0.000 0.000 4.611
Eu Au F
1 1 1
direct
0.000 0.000 0.000 Eu
0.333 0.667 0.500 Au
0.667 0.333 0.000 F
```

Formation energy (no corrections) in meV/atom: -2025
Space-group type: P-6m2 (187)

---

Record 10
Computed, not measured: a relaxed structure of Eu2AuF at the PBE level of DFT.

```
Eu2AuF
1.0
3.588 0.000 0.000
0.000 3.588 0.000
0.000 0.000 7.491
Eu Au F
2 1 1
direct
0.000 0.000 0.248 Eu
0.000 0.000 0.752 Eu
0.500 0.500 0.500 Au
0.500 0.500 0.000 F
```

Formation energy (no corrections) in meV/atom: -1432
Offset from the most stable computed form in meV per atom: 182
Space-group type: P4/mmm (123)

---

Record 11
Computed, not measured: a relaxed structure of Eu2AuF at the PBE level of DFT.

```
Eu2AuF
1.0
2.070 1.195 6.794
-2.070 1.195 6.794
0.000 -2.390 6.794
Eu Au F
2 1 1
direct
0.241 0.241 0.241 Eu
0.759 0.759 0.759 Eu
0.000 0.000 0.000 Au
0.500 0.500 0.500 F
```

Formation energy (no corrections) in meV/atom: -1614
Offset from the most stable computed form in meV per atom: 0
Space-group type: R-3m (166)

---

Record 12
Computed, not measured: a relaxed structure of EuGa2Au at the PBE level of DFT.

```
EuGa2Au
1.0
2.198 1.269 5.370
-2.198 1.269 5.370
0.000 -2.538 5.370
Eu Ga Au
1 2 1
direct
0.000 0.000 0.000 Eu
0.218 0.218 0.218 Ga
0.782 0.782 0.782 Ga
0.500 0.500 0.500 Au
```

ΔE_f in eV per formula unit: -2.10
Space-group type: R-3m (166)

---

Number 1: VASP energy -5.56 eV per atom, DOS(E_F) 3.9 states/eV per cell. Number 2: VASP energy -5.53 eV per atom, DOS(E_F) 5.7 states/eV per cell. Number 3: VASP energy -4.65 eV per atom, DOS(E_F) 4.0 states/eV per cell. Number 4: VASP energy -4.74 eV per atom, DOS(E_F) 13.6 states/eV per cell. Number 5: VASP energy -7.59 eV per atom, DOS(E_F) 5.9 states/eV per cell. Number 6: VASP energy -8.18 eV per atom, DOS(E_F) 35.6 states/eV per cell. Number 7: VASP energy -4.87 eV per atom, DOS(E_F) 13.7 states/eV per cell. Number 8: VASP energy -4.11 eV per atom, DOS(E_F) 3.3 states/eV per cell. Number 9: VASP energy -7.17 eV per atom, DOS(E_F) 11.8 states/eV per cell. Number 10: VASP energy -7.86 eV per atom, DOS(E_F) 2.4 states/eV per cell. Number 11: VASP energy -8.04 eV per atom, DOS(E_F) 16.2 states/eV per cell. Number 12: VASP energy -5.43 eV per atom, DOS(E_F) 8.6 states/eV per cell.